Record 1
Density functional theory data (PBE-GGA) for a geometry-optimized Sm2CdIn3 structure.

Values from the calculation:
Calculated formation energy in kJ/mol of formula units: -256
M_tot in μB per formula unit: 0.00
DFT total energy in eV/atom: -3.54

Cell and atoms, written as CIF:
```
data_Sm2CdIn3
_cell_length_a 7.347
_cell_length_b 9.953
_cell_length_c 17.196
_cell_angle_alpha 90.00
_cell_angle_beta 90.00
_cell_angle_gamma 90.00
_symmetry_space_group_name_H-M 'F m m m'
_symmetry_Int_Tables_number 69
_symmetry_space_group_name_Hall '-F 2 2'
loop_
_atom_site_label
_atom_site_type_symbol
_atom_site_fract_x
_atom_site_fract_y
_atom_site_fract_z
Sm1 Sm 0.249 0.000 0.000
Sm2 Sm 0.250 0.250 0.250
Cd1 Cd 0.000 0.000 0.167
In1 In 0.000 0.000 0.332
In2 In 0.000 0.249 0.084
```

---

Record 2
Density functional theory data (PBE-GGA) for a geometry-optimized Sm2Cd3In2 structure.

Values from the calculation:
Calculated formation energy in kJ/mol of formula units: -179
Offset from the most stable computed form in meV per atom: 69
M_tot in μB per formula unit: 0.00
DFT total energy in eV/atom: -2.79

Cell and atoms, written as CIF:
```
data_Sm2Cd3In2
_cell_length_a 4.713
_cell_length_b 22.248
_cell_length_c 3.494
_cell_angle_alpha 90.00
_cell_angle_beta 90.00
_cell_angle_gamma 90.00
_symmetry_space_group_name_H-M 'C m m m'
_symmetry_Int_Tables_number 65
_symmetry_space_group_name_Hall '-C 2 2'
loop_
_atom_site_label
_atom_site_type_symbol
_atom_site_fract_x
_atom_site_fract_y
_atom_site_fract_z
Sm1 Sm 0.000 0.151 0.000
Cd1 Cd 0.000 0.000 0.000
Cd2 Cd 0.000 0.432 0.500
In1 In 0.000 0.288 0.500
```

---

Record 3
Density functional theory data (PBE-GGA) for a geometry-optimized Sm3Cd4In4 structure.

Values from the calculation:
Calculated formation energy in kJ/mol of formula units: -362
M_tot in μB per formula unit: 0.00
DFT total energy in eV/atom: -2.96

Cell and atoms, written as CIF:
```
data_Sm3Cd4In4
_cell_length_a 3.729
_cell_length_b 4.969
_cell_length_c 15.509
_cell_angle_alpha 81.84
_cell_angle_beta 83.11
_cell_angle_gamma 89.99
_symmetry_space_group_name_H-M 'P -1'
_symmetry_Int_Tables_number 2
loop_
_symmetry_equiv_pos_as_xyz
'x,y,z'
'-x,-y,-z'
loop_
_atom_site_label
_atom_site_type_symbol
_atom_site_fract_x
_atom_site_fract_y
_atom_site_fract_z
Sm1 Sm 0.000 0.000 0.000
Sm2 Sm 0.141 0.626 0.718
Cd1 Cd 0.263 0.275 0.474
Cd2 Cd 0.409 0.917 0.185
In1 In 0.314 0.832 0.369
In2 In 0.451 0.457 0.095
```

---

Record 4
Density functional theory data (PBE-GGA) for a geometry-optimized SmCdIn4 structure.

Values from the calculation:
Calculated formation energy in kJ/mol of formula units: -47
M_tot in μB per formula unit: 0.00
DFT total energy in eV/atom: -2.85

Cell and atoms, written as CIF:
```
data_SmCdIn4
_cell_length_a 8.641
_cell_length_b 8.641
_cell_length_c 8.641
_cell_angle_alpha 90.00
_cell_angle_beta 90.00
_cell_angle_gamma 90.00
_symmetry_space_group_name_H-M 'F -4 3 m'
_symmetry_Int_Tables_number 216
_symmetry_space_group_name_Hall 'F -4 2 3'
loop_
_atom_site_label
_atom_site_type_symbol
_atom_site_fract_x
_atom_site_fract_y
_atom_site_fract_z
Sm1 Sm 0.000 0.000 0.000
Cd1 Cd 0.250 0.250 0.750
In1 In 0.125 0.125 0.375
```

---

- What is the formula in the third record?
  Sm3Cd4In4

---

- Look up the calculated formation energy of the second one.
  -179 kJ/mol of formula units